Below is crystalline PPt3 at its relaxed geometry, with properties calculated at the PBE level.

## Properties
For the energy above the most stable polymorph in this dataset, the calculation gives 0.375 eV/atom. For the total energy, the calculation gives -23.027 eV/f.u. Its energy relative to the elements is 49 kJ/mol of formula units. As for the space group: No. 194. Its total magnetic moment is 0.00 μB per formula unit.

abc: 5.441 5.441 9.624
angles: 90.00 90.00 120.00
Element x y z (fractional)
P 0.000 0.000 0.000
P 0.000 0.000 0.500
P 0.333 0.667 0.250
P 0.667 0.333 0.750
Pt 0.500 0.000 0.000
Pt 0.500 0.000 0.500
Pt 0.000 0.500 0.000
Pt 0.500 0.500 0.000
Pt 0.500 0.500 0.500
Pt 0.000 0.500 0.500
Pt 0.833 0.666 0.250
Pt 0.167 0.334 0.750
Pt 0.334 0.167 0.250
Pt 0.833 0.167 0.250
Pt 0.167 0.833 0.750
Pt 0.666 0.833 0.750